[1]
SiTc2TeSe: relaxed, PBE.

a b c (Å): 4.6183 5.1275 4.6183
angles (deg): 90.00 90.00 90.00
Sites, in units of the cell vectors:
Si 0.0000 0.0000 0.0000
Tc 0.0000 0.0000 0.5000
Se 0.5000 0.5000 0.5000
Tc 0.5000 0.0000 0.0000
Te 0.0000 0.5000 0.0000

The value obtained for the calculated volume is 21.9 A^3/atom. The energy is -26.764 eV/f.u. As for the energy relative to the elements, uncorrected: 1.203 eV/atom.

=====

[2]
Th6SiTc2Se3: relaxed, PBE.

a b c (Å): 7.2351 7.2351 7.6204
angles (deg): 99.18 99.18 120.02
Sites, in units of the cell vectors:
Tc 0.3320 0.6680 0.0000
Th 0.9280 0.5795 0.7791
Se 0.5000 0.5000 0.5000
Si 0.0000 0.0000 0.0000
Th 0.7253 0.7253 0.2211
Tc 0.6680 0.3320 0.0000
Se 0.1613 0.8387 0.5000
Th 0.4205 0.0720 0.2209
Th 0.0720 0.4205 0.2209
Se 0.8387 0.1613 0.5000
Th 0.5795 0.9280 0.7791
Th 0.2747 0.2747 0.7789

The value obtained for the calculated volume is 27.3 A^3/atom. The energy is -92.065 eV/f.u. As for the energy relative to the elements, uncorrected: -0.911 eV/atom.